Entry 1:
Material: Ga5CuSe8
Method: DFT, meta-GGA SCAN
State: PBEsol geometry

The uncorrected formation energy is -8.495 eV per formula unit. The value obtained for the total magnetization is 0.0 Bohr magnetons per cell.

Cell: 5.426 5.426 11.039 Å, 90.00 90.00 90.00°
Space group P-42m (No. 111)
One atom of each set of equivalent atoms:
Ga1 0.000 0.000 0.000 [1 per cell]
Ga2 0.000 0.500 0.256 [4 per cell]
Cu1 0.500 0.500 0.500 [1 per cell]
Se1 0.236 0.236 0.615 [4 per cell]
Se2 0.270 0.270 0.115 [4 per cell]

Entry 2:
Material: Ga2CuSe
Method: DFT, meta-GGA SCAN
State: PBEsol geometry

The uncorrected formation energy is 1.569 eV per formula unit. Its density of states at the Fermi level is 2.016 states/eV/f.u. The value obtained for the total magnetization is 0.0 Bohr magnetons per cell.

Cell: 6.555 6.555 6.555 Å, 90.00 90.00 90.00°
Space group Fm-3m (No. 225)
One atom of each set of equivalent atoms:
Ga1 0.250 0.250 0.250 [8 per cell]
Cu1 0.000 0.000 0.000 [4 per cell]
Se1 0.000 0.000 0.500 [4 per cell]

Entry 3:
Material: Ga7Cu3Se12
Method: DFT, meta-GGA SCAN
State: PBEsol geometry

The uncorrected formation energy is -12.000 eV per formula unit. Its density of states at the Fermi level is 0.721 states/eV/f.u. The value obtained for the total magnetization is 0.0 Bohr magnetons per cell.

Cell: 20.409 3.882 15.535 Å, 90.00 124.90 90.00°
Space group Cm (No. 8)
One atom of each set of equivalent atoms:
Ga1 0.000 0.000 0.000 [2 per cell]
Ga2 0.002 0.000 0.502 [2 per cell]
Ga3 0.012 0.000 0.760 [2 per cell]
Ga4 0.162 0.500 0.249 [2 per cell]
Ga5 0.171 0.500 0.491 [2 per cell]
Ga6 0.332 0.000 0.996 [2 per cell]
Ga7 0.334 0.000 0.239 [2 per cell]
Cu1 0.173 0.500 0.762 [2 per cell]
Cu2 0.337 0.000 0.503 [2 per cell]
Cu3 0.340 0.000 0.760 [2 per cell]
Se1 0.079 0.500 0.307 [2 per cell]
Se2 0.092 0.500 0.059 [2 per cell]
Se3 0.093 0.500 0.572 [2 per cell]
Se4 0.096 0.500 0.832 [2 per cell]
Se5 0.248 0.000 0.058 [2 per cell]
Se6 0.252 0.000 0.811 [2 per cell]
Se7 0.256 0.000 0.316 [2 per cell]
Se8 0.259 0.000 0.572 [2 per cell]
Se9 0.418 0.500 0.811 [2 per cell]
Se10 0.419 0.500 0.567 [2 per cell]
Se11 0.425 0.500 0.077 [2 per cell]
Se12 0.426 0.500 0.312 [2 per cell]

Entry 4:
Material: GaCuTeSe
Method: DFT, meta-GGA SCAN
State: PBEsol geometry

The uncorrected formation energy is -1.517 eV per formula unit. The value obtained for the total magnetization is 0.0 Bohr magnetons per cell.

Cell: 5.776 5.792 11.499 Å, 90.00 90.00 90.00°
Space group I2_12_12_1 (No. 24)
One atom of each set of equivalent atoms:
Ga1 0.000 0.250 0.118 [4 per cell]
Cu1 0.000 0.250 0.612 [4 per cell]
Te1 0.231 0.500 0.750 [4 per cell]
Se1 0.250 0.004 0.500 [4 per cell]

Entry 5:
Material: Tl2GaCu3Se4
Method: DFT, meta-GGA SCAN
State: PBEsol geometry

The uncorrected formation energy is -3.397 eV per formula unit. The value obtained for the total magnetization is 0.0 Bohr magnetons per cell.

Cell: 5.535 13.759 5.499 Å, 90.00 90.00 90.00°
Space group C222 (No. 21)
One atom of each set of equivalent atoms:
Tl1 0.250 0.250 0.247 [4 per cell]
Ga1 0.000 0.500 0.000 [2 per cell]
Cu1 0.000 0.000 0.000 [2 per cell]
Cu2 0.000 0.000 0.500 [2 per cell]
Cu3 0.000 0.500 0.500 [2 per cell]
Se1 0.248 0.389 0.752 [8 per cell]

Entry 6:
Material: Zn2GaCuSe4
Method: DFT, meta-GGA SCAN
State: PBEsol geometry

The uncorrected formation energy is -5.218 eV per formula unit. The value obtained for the total magnetization is 0.0 Bohr magnetons per cell.

Cell: 5.607 5.607 11.152 Å, 90.00 90.00 90.00°
Space group I-42m (No. 121)
One atom of each set of equivalent atoms:
Zn1 0.000 0.500 0.250 [4 per cell]
Ga1 0.000 0.000 0.000 [2 per cell]
Cu1 0.000 0.000 0.500 [2 per cell]
Se1 0.247 0.247 0.378 [8 per cell]

Entry 7:
Material: Zn2GaCuSe4
Method: DFT, meta-GGA SCAN
State: PBEsol geometry

The uncorrected formation energy is -4.399 eV per formula unit. Its density of states at the Fermi level is 1.504 states/eV/f.u. The value obtained for the total magnetization is 0.0 Bohr magnetons per cell.

Cell: 3.9868 3.9868 38.7899 Å, 90.00 90.00 120.00°
Space group R3m (No. 160, hexagonal axes)
One atom of each set of equivalent atoms:
Zn1 0.0000 0.0000 0.0000 [3 per cell]
Zn2 0.0000 0.0000 0.2492 [3 per cell]
Ga1 0.0000 0.0000 0.4961 [3 per cell]
Cu1 0.0000 0.0000 0.7399 [3 per cell]
Se1 0.0000 0.0000 0.0615 [3 per cell]
Se2 0.0000 0.0000 0.3104 [3 per cell]
Se3 0.0000 0.0000 0.5594 [3 per cell]
Se4 0.0000 0.0000 0.8042 [3 per cell]

Entry 8:
Material: SmGa3Cu
Method: DFT, meta-GGA SCAN
State: PBEsol geometry

Its density of states at the Fermi level is 1.117 states/eV/f.u. The calculation puts the formation energy at -0.605 eV/atom. The value obtained for the total magnetization is 0.0 Bohr magnetons per cell.

Cell: 4.073 4.073 10.545 Å, 90.00 90.00 90.00°
Space group I-4m2 (No. 119)
One atom of each set of equivalent atoms:
Sm1 0.000 0.000 0.000 [2 per cell]
Ga1 0.000 0.000 0.385 [4 per cell]
Ga2 0.000 0.500 0.750 [2 per cell]
Cu1 0.000 0.500 0.250 [2 per cell]